Entry from Alexandria: crystalline Er2HfFe at its relaxed geometry (PBE).

abc: 3.2235 3.2235 31.7386
angles: 90.00 90.00 120.00
Last column: nearest neighbours and their distance in Å.
Fractional coordinates of all 12 atoms:
Er  0.0000  0.0000  0.0832  1 Fe 2.64
Er  0.0000  0.0000  0.9168  1 Fe 2.64
Er  0.3333  0.6667  0.5834  1 Fe 2.64
Er  0.3333  0.6667  0.7499  1 Fe 2.64
Er  0.6667  0.3333  0.2501  1 Fe 2.64
Er  0.6667  0.3333  0.4166  1 Fe 2.64
Hf  0.0000  0.0000  0.5000  6 Hf 3.22, 6 Er 3.24
Hf  0.3333  0.6667  0.1667  6 Hf 3.22, 6 Er 3.24
Hf  0.6667  0.3333  0.8333  6 Hf 3.22, 6 Er 3.24
Fe  0.0000  0.0000  0.0000  2 Er 2.64
Fe  0.3333  0.6667  0.6667  2 Er 2.64
Fe  0.6667  0.3333  0.3333  2 Er 2.64

Computed properties:
Energy of formation from the pure elements: 0.561 eV/atom
Symmetry: No. 166
E_tot: -75.89 eV for the cell shown

---

Entry from Alexandria: crystalline PrTm3Th4Se8 at its relaxed geometry (PBE).

abc: 8.5117 8.5117 8.5117
angles: 56.64 56.64 56.64
Last column: nearest neighbours and their distance in Å.
Fractional coordinates of all 16 atoms:
Pr  0.0000  0.0000  0.0000  6 Se 2.93
Tm  0.0000  0.5000  0.5000  6 Se 2.84
Tm  0.5000  0.0000  0.5000  6 Se 2.84
Tm  0.5000  0.5000  0.0000  6 Se 2.84
Th  0.0000  0.0000  0.5000  6 Se 3.03
Th  0.0000  0.5000  0.0000  6 Se 3.03
Th  0.5000  0.0000  0.0000  6 Se 3.03
Th  0.5000  0.5000  0.5000  6 Se 2.94
Se  0.2500  0.2500  0.7351  2 Tm 2.84, 1 Pr 2.93, 3 Th 2.94-3.03
Se  0.2500  0.7351  0.2500  2 Tm 2.84, 1 Pr 2.93, 3 Th 2.94-3.03
Se  0.2571  0.2571  0.2571  3 Tm 2.84, 3 Th 3.03
Se  0.2649  0.7500  0.7500  2 Tm 2.84, 1 Pr 2.93, 3 Th 2.94-3.03
Se  0.7351  0.2500  0.2500  2 Tm 2.84, 1 Pr 2.93, 3 Th 2.94-3.03
Se  0.7429  0.7429  0.7429  3 Tm 2.84, 3 Th 3.03
Se  0.7500  0.2649  0.7500  2 Tm 2.84, 1 Pr 2.93, 3 Th 2.94-3.03
Se  0.7500  0.7500  0.2649  2 Tm 2.84, 1 Pr 2.93, 3 Th 2.94-3.03

Computed properties:
E_form (uncorrected): -1.6165 eV per atom
Symmetry: No. 166
E_tot: -101.61 eV for the cell shown

---

Entry from Alexandria: crystalline Dy3HoPd4 at its relaxed geometry (PBE).

abc: 5.0047 5.0047 6.8599
angles: 90.00 90.00 90.00
Last column: nearest neighbours and their distance in Å.
Fractional coordinates of all 8 atoms:
Dy  0.0000  0.0000  0.0000  8 Pd 3.04
Dy  0.0000  0.0000  0.5000  8 Pd 3.03
Dy  0.5000  0.5000  0.0000  8 Pd 3.04
Ho  0.5000  0.5000  0.5000  8 Pd 3.03
Pd  0.0000  0.5000  0.2509  6 Dy 3.03-3.04, 2 Ho 3.03
Pd  0.0000  0.5000  0.7491  6 Dy 3.03-3.04, 2 Ho 3.03
Pd  0.5000  0.0000  0.2509  6 Dy 3.03-3.04, 2 Ho 3.03
Pd  0.5000  0.0000  0.7491  6 Dy 3.03-3.04, 2 Ho 3.03

Computed properties:
Energy of formation from the pure elements: -0.894 eV/atom
Symmetry: No. 123
E_tot: -46.31 eV for the cell shown

---

Q: Look up the E_tot of the second one.
A: -101.61 eV for the cell shown

---

Q: E_tot of number 1 (Er2HfFe)?
A: -75.89 eV for the cell shown

---

Q: Which value of E_tot does entry 2 give?
A: -101.61 eV for the cell shown